Material: KLa4Se
Method: DFT, PBE
State: optimized geometry

Properties
Its formation energy without anion corrections is 0.258 eV/atom. As for the density of states at the Fermi level: 11.0 states/eV/f.u. The total magnetization comes out at 0.0 μB per formula unit. The value obtained for the uncorrected energy is -0.279 Ry per atom.

```
data_KLa4Se
_chemical_formula_sum 'K1 La4 Se1'
_space_group_name_H-M_alt 'P 1'
_space_group_IT_number 1
_space_group_name_Hall 'P 1'
_cell_length_a 6.754
_cell_length_b 6.754
_cell_length_c 6.754
_cell_angle_alpha 60.00
_cell_angle_beta 60.00
_cell_angle_gamma 60.00
loop_
_atom_site_label
_atom_site_fract_x
_atom_site_fract_y
_atom_site_fract_z
K1 0.000 0.000 0.000
La1 0.873 0.376 0.376
La2 0.376 0.376 0.873
La3 0.376 0.873 0.376
La4 0.376 0.376 0.376
Se1 0.750 0.750 0.750
```